Entry 1:
This record from the Alexandria database describes a geometry-optimized Cd2Cu2Sb structure. The functional is GGA-PBE.

E_tot: -2.620 eV/atom
energy relative to the elements, uncorrected: 0.209 eV/atom
E above lowest polymorph: 61 meV per atom
DOS at the Fermi energy: 0.4444 states/eV per atom
total magnetization: 0.00 μB/f.u.
crystal system: tetragonal

a b c (Å): 3.928 3.928 12.775
angles (deg): 90.00 90.00 90.00
Space group I4/mmm (No. 139)
One atom of each set of equivalent atoms:
Cd 0.000 0.500 0.250 (multiplicity 4)
Cu 0.000 0.000 0.094 (multiplicity 4)
Sb 0.000 0.000 0.500 (multiplicity 2)

Entry 2:
This record from the Alexandria database describes a geometry-optimized LaTc2AgSb structure. The functional is GGA-PBE.

E_tot: -4.887 eV/atom
energy relative to the elements, uncorrected: 1.640 eV/atom
DOS at the Fermi energy: 1.0171 states/eV per atom
total magnetization: 1.73 μB/f.u.
crystal system: tetragonal

a b c (Å): 4.838 4.838 5.548
angles (deg): 90.00 90.00 90.00
Space group P4/mmm (No. 123)
One atom of each set of equivalent atoms:
La 0.000 0.000 0.000 (multiplicity 1)
Tc 0.000 0.500 0.000 (multiplicity 2)
Ag 0.000 0.000 0.500 (multiplicity 1)
Sb 0.500 0.500 0.500 (multiplicity 1)

Entry 3:
This record from the Alexandria database describes a geometry-optimized ErSc4S5 structure. The functional is GGA-PBE.

E_tot: -6.930 eV/atom
energy relative to the elements, uncorrected: -1.877 eV/atom
DOS at the Fermi energy: 0.5326 states/eV per atom
total magnetization: 0.00 μB/f.u.
crystal system: orthorhombic

a b c (Å): 3.728 5.274 18.666
angles (deg): 90.00 90.00 90.00
Space group Immm (No. 71)
One atom of each set of equivalent atoms:
Er 0.000 0.000 0.000 (multiplicity 2)
Sc 0.000 0.000 0.202 (multiplicity 4)
Sc 0.000 0.000 0.399 (multiplicity 4)
S 0.000 0.500 0.000 (multiplicity 2)
S 0.000 0.500 0.199 (multiplicity 4)
S 0.000 0.500 0.395 (multiplicity 4)

Entry 4:
This record from the Alexandria database describes a geometry-optimized Er3BBr3 structure. The functional is GGA-PBE.

E_tot: -4.842 eV/atom
energy relative to the elements, uncorrected: -1.215 eV/atom
DOS at the Fermi energy: 0.1658 states/eV per atom
total magnetization: 0.00 μB/f.u.
crystal system: trigonal

a b c (Å): 6.6710 6.6710 31.7513
angles (deg): 90.00 90.00 120.00
Space group R-3 (No. 148, hexagonal axes)
One atom of each set of equivalent atoms:
Er 0.0000 0.3517 0.4556 (multiplicity 18)
B 0.0000 0.0000 0.1667 (multiplicity 6)
Br 0.0000 0.3253 0.6032 (multiplicity 18)

Entry 5:
This record from the Alexandria database describes a geometry-optimized CsTlBr2 structure. The functional is GGA-PBE.

E_tot: -2.941 eV/atom
energy relative to the elements, uncorrected: -1.300 eV/atom
DOS at the Fermi energy: 0.0000 states/eV per atom
total magnetization: 0.00 μB/f.u.
crystal system: trigonal

a b c (Å): 4.8936 4.8936 25.3852
angles (deg): 90.00 90.00 120.00
Space group R3m (No. 160, hexagonal axes)
One atom of each set of equivalent atoms:
Cs 0.0000 0.0000 0.0000 (multiplicity 3)
Tl 0.0000 0.0000 0.8316 (multiplicity 3)
Br 0.0000 0.0000 0.2419 (multiplicity 3)
Br 0.0000 0.0000 0.4228 (multiplicity 3)

Entry 6:
This record from the Alexandria database describes a geometry-optimized TiCu3Br structure. The functional is GGA-PBE.

E_tot: -3.202 eV/atom
energy relative to the elements, uncorrected: 1.169 eV/atom
E above lowest polymorph: 10 meV per atom
DOS at the Fermi energy: 1.0020 states/eV per atom
total magnetization: 0.74 μB/f.u.
crystal system: cubic

a b c (Å): 4.828 4.828 4.828
angles (deg): 90.00 90.00 90.00
Space group Pm-3m (No. 221)
One atom of each set of equivalent atoms:
Ti 0.000 0.000 0.000 (multiplicity 1)
Cu 0.000 0.000 0.500 (multiplicity 3)
Br 0.500 0.500 0.500 (multiplicity 1)

Entry 7:
This record from the Alexandria database describes a geometry-optimized LiCu2RhCl structure. The functional is GGA-PBE.

E_tot: -3.241 eV/atom
energy relative to the elements, uncorrected: 0.620 eV/atom
DOS at the Fermi energy: 0.3503 states/eV per atom
total magnetization: 1.00 μB/f.u.
crystal system: tetragonal

a b c (Å): 4.333 4.333 4.063
angles (deg): 90.00 90.00 90.00
Space group P4/mmm (No. 123)
One atom of each set of equivalent atoms:
Li 0.000 0.000 0.000 (multiplicity 1)
Cu 0.000 0.500 0.000 (multiplicity 2)
Rh 0.500 0.500 0.500 (multiplicity 1)
Cl 0.000 0.000 0.500 (multiplicity 1)

Entry 8:
This record from the Alexandria database describes a geometry-optimized Th2BeAlRh6 structure. The functional is GGA-PBE.

E_tot: -7.358 eV/atom
E_form: -717 meV/atom
DOS at the Fermi energy: 0.6401 states/eV per atom
total magnetization: 0.00 μB/f.u.
crystal system: monoclinic

a b c (Å): 8.834 8.838 6.239
angles (deg): 90.00 134.82 90.00
Space group C2/m (No. 12)
One atom of each set of equivalent atoms:
Th 0.000 0.250 0.000 (multiplicity 4)
Be 0.000 0.000 0.500 (multiplicity 2)
Al 0.000 0.500 0.500 (multiplicity 2)
Rh 0.000 0.239 0.500 (multiplicity 4)
Rh 0.239 0.000 0.500 (multiplicity 4)
Rh 0.239 0.000 0.979 (multiplicity 4)

Entry 9:
This record from the Alexandria database describes a geometry-optimized SmU2Se4 structure. The functional is GGA-PBE.

E_tot: -7.178 eV/atom
energy relative to the elements, uncorrected: -1.288 eV/atom
E above lowest polymorph: 38 meV per atom
DOS at the Fermi energy: 1.7087 states/eV per atom
total magnetization: 6.29 μB/f.u.
crystal system: orthorhombic

a b c (Å): 3.944 13.496 14.035
angles (deg): 90.00 90.00 90.00
Space group Cmcm (No. 63)
One atom of each set of equivalent atoms:
Sm 0.000 0.115 0.250 (multiplicity 4)
U 0.000 0.362 0.064 (multiplicity 8)
Se 0.000 0.000 0.000 (multiplicity 4)
Se 0.000 0.280 0.627 (multiplicity 8)
Se 0.000 0.453 0.250 (multiplicity 4)

Entry 10:
This record from the Alexandria database describes a geometry-optimized SrDyEr4Se8 structure. The functional is GGA-PBE.

E_tot: -5.523 eV/atom
energy relative to the elements, uncorrected: -1.779 eV/atom
DOS at the Fermi energy: 0.2640 states/eV per atom
total magnetization: 0.00 μB/f.u.
crystal system: trigonal

a b c (Å): 8.4695 8.4695 20.8185
angles (deg): 90.00 90.00 120.00
Space group R3m (No. 160, hexagonal axes)
One atom of each set of equivalent atoms:
Sr 0.0000 0.0000 0.0000 (multiplicity 3)
Dy 0.0000 0.0000 0.3723 (multiplicity 3)
Er 0.0000 0.0000 0.7492 (multiplicity 3)
Er 0.0048 0.5024 0.8750 (multiplicity 9)
Se 0.0000 0.0000 0.1386 (multiplicity 3)
Se 0.0000 0.0000 0.6167 (multiplicity 3)
Se 0.0187 0.5094 0.1274 (multiplicity 9)
Se 0.1845 0.3691 0.9522 (multiplicity 9)

Entry 11:
This record from the Alexandria database describes a geometry-optimized CaY2BeCl structure. The functional is GGA-PBE.

E_tot: -4.084 eV/atom
energy relative to the elements, uncorrected: 0.017 eV/atom
DOS at the Fermi energy: 1.0065 states/eV per atom
total magnetization: 0.00 μB/f.u.
crystal system: tetragonal

a b c (Å): 5.330 5.330 4.570
angles (deg): 90.00 90.00 90.00
Space group P4/mmm (No. 123)
One atom of each set of equivalent atoms:
Ca 0.000 0.000 0.000 (multiplicity 1)
Y 0.000 0.500 0.500 (multiplicity 2)
Be 0.500 0.500 0.000 (multiplicity 1)
Cl 0.500 0.500 0.500 (multiplicity 1)

Entry 12:
This record from the Alexandria database describes a geometry-optimized Tm4CuI5 structure. The functional is GGA-PBE.

E_tot: -3.911 eV/atom
energy relative to the elements, uncorrected: -0.938 eV/atom
DOS at the Fermi energy: 0.4203 states/eV per atom
total magnetization: 0.00 μB/f.u.
crystal system: monoclinic

a b c (Å): 19.079 4.069 8.779
angles (deg): 90.00 102.42 90.00
Space group C2/m (No. 12)
One atom of each set of equivalent atoms:
Tm 0.000 0.000 0.205 (multiplicity 4)
Tm 0.141 0.500 0.072 (multiplicity 4)
Cu 0.000 0.500 0.000 (multiplicity 2)
I 0.000 0.500 0.500 (multiplicity 2)
I 0.168 0.000 0.343 (multiplicity 4)
I 0.177 0.000 0.830 (multiplicity 4)

Entry 13:
This record from the Alexandria database describes a geometry-optimized AlOs2Au structure. The functional is GGA-PBE.

E_tot: -7.305 eV/atom
E_form: 65 meV/atom
DOS at the Fermi energy: 0.5124 states/eV per atom
total magnetization: 0.00 μB/f.u.
crystal system: orthorhombic

a b c (Å): 2.836 3.801 5.657
angles (deg): 90.00 90.00 90.00
Space group Pmm2 (No. 25)
One atom of each set of equivalent atoms:
Al 0.000 0.000 0.000 (multiplicity 1)
Os 0.000 0.000 0.539 (multiplicity 1)
Os 0.500 0.500 0.737 (multiplicity 1)
Au 0.500 0.500 0.238 (multiplicity 1)

Entry 14:
This record from the Alexandria database describes a geometry-optimized NdNpSn2 structure. The functional is GGA-PBE.

E_tot: -6.756 eV/atom
E_form: -327 meV/atom
E above lowest polymorph: 0 meV per atom
DOS at the Fermi energy: 1.7685 states/eV per atom
total magnetization: 4.40 μB/f.u.
crystal system: tetragonal

a b c (Å): 3.434 3.434 9.141
angles (deg): 90.00 90.00 90.00
Space group P4/mmm (No. 123)
One atom of each set of equivalent atoms:
Nd 0.000 0.000 0.000 (multiplicity 1)
Np 0.000 0.000 0.500 (multiplicity 1)
Sn 0.500 0.500 0.256 (multiplicity 2)

Entry 15:
This record from the Alexandria database describes a geometry-optimized Sc2NiB2Ir5 structure. The functional is GGA-PBE.

E_tot: -8.279 eV/atom
E_form: -668 meV/atom
DOS at the Fermi energy: 0.7631 states/eV per atom
total magnetization: 0.88 μB/f.u.
crystal system: tetragonal

a b c (Å): 9.354 9.354 3.051
angles (deg): 90.00 90.00 90.00
Space group P4/mbm (No. 127)
One atom of each set of equivalent atoms:
Sc 0.177 0.323 0.000 (multiplicity 4)
Ni 0.000 0.000 0.000 (multiplicity 2)
B 0.126 0.626 0.000 (multiplicity 4)
Ir 0.000 0.500 0.500 (multiplicity 2)
Ir 0.070 0.785 0.500 (multiplicity 8)

Entry 16:
This record from the Alexandria database describes a geometry-optimized DySc4Pt5 structure. The functional is GGA-PBE.

E_tot: -7.243 eV/atom
E_form: -1230 meV/atom
DOS at the Fermi energy: 0.5578 states/eV per atom
total magnetization: 0.00 μB/f.u.
crystal system: tetragonal

a b c (Å): 3.286 3.286 17.196
angles (deg): 90.00 90.00 90.00
Space group P4/mmm (No. 123)
One atom of each set of equivalent atoms:
Dy 0.000 0.000 0.000 (multiplicity 1)
Sc 0.000 0.000 0.207 (multiplicity 2)
Sc 0.000 0.000 0.402 (multiplicity 2)
Pt 0.500 0.500 0.114 (multiplicity 2)
Pt 0.500 0.500 0.306 (multiplicity 2)
Pt 0.500 0.500 0.500 (multiplicity 1)

Entry 17:
This record from the Alexandria database describes a geometry-optimized LiInCo structure. The functional is GGA-PBE.

E_tot: -3.593 eV/atom
E_form: 326 meV/atom
DOS at the Fermi energy: 1.5053 states/eV per atom
total magnetization: 0.33 μB/f.u.
crystal system: cubic

a b c (Å): 6.000 6.000 6.000
angles (deg): 90.00 90.00 90.00
Space group F-43m (No. 216)
One atom of each set of equivalent atoms:
Li 0.000 0.000 0.000 (multiplicity 4)
In 0.000 0.000 0.500 (multiplicity 4)
Co 0.250 0.250 0.250 (multiplicity 4)

Entry 18:
This record from the Alexandria database describes a geometry-optimized PaBeSn structure. The functional is GGA-PBE.

E_tot: -5.737 eV/atom
E_form: 4 meV/atom
E above lowest polymorph: 82 meV per atom
DOS at the Fermi energy: 1.3696 states/eV per atom
total magnetization: 0.00 μB/f.u.
crystal system: orthorhombic

a b c (Å): 4.377 15.306 3.654
angles (deg): 90.00 90.00 90.00
Space group Cmcm (No. 63)
One atom of each set of equivalent atoms:
Pa 0.000 0.084 0.250 (multiplicity 4)
Be 0.000 0.464 0.250 (multiplicity 4)
Sn 0.000 0.300 0.250 (multiplicity 4)

Entry 19:
This record from the Alexandria database describes a geometry-optimized KBe2CdCl8 structure. The functional is GGA-PBE.

E_tot: -3.247 eV/atom
energy relative to the elements, uncorrected: -1.227 eV/atom
DOS at the Fermi energy: 1.3705 states/eV per atom
total magnetization: 1.19 μB/f.u.
crystal system: trigonal

a b c (Å): 6.1935 6.1935 27.0126
angles (deg): 90.00 90.00 120.00
Space group R-3 (No. 148, hexagonal axes)
One atom of each set of equivalent atoms:
K 0.0000 0.0000 0.0000 (multiplicity 3)
Be 0.0000 0.0000 0.2463 (multiplicity 6)
Cd 0.0000 0.0000 0.5000 (multiplicity 3)
Cl 0.0000 0.0000 0.3211 (multiplicity 6)
Cl 0.0093 0.6913 0.7755 (multiplicity 18)

Entry 20:
This record from the Alexandria database describes a geometry-optimized Ac2Cd6Sn3 structure. The functional is GGA-PBE.

E_tot: -2.673 eV/atom
E_form: -335 meV/atom
DOS at the Fermi energy: 0.1902 states/eV per atom
total magnetization: 0.00 μB/f.u.
crystal system: hexagonal

a b c (Å): 8.7299 8.7299 4.5941
angles (deg): 90.00 90.00 120.00
Space group P-62m (No. 189)
One atom of each set of equivalent atoms:
Ac 0.3333 0.6667 0.0000 (multiplicity 2)
Cd 0.0000 0.2746 0.5000 (multiplicity 3)
Cd 0.0000 0.8079 0.0000 (multiplicity 3)
Sn 0.0000 0.6037 0.5000 (multiplicity 3)